No. 1
TaAg2Au | PBE-GGA | relaxed

Output
DFT formation energy, meV/atom: 160
SG: No. 166
Distance to the lowest polymorph of the same formula, meV per atom: 69

Unit cell a=2.917 b=2.917 c=29.207 alpha=90.00 beta=90.00 gamma=120.00
Sites, in units of the cell vectors:
Ta 0.000 0.000 0.000
Ta 0.333 0.667 0.667
Ta 0.667 0.333 0.333
Ag 0.000 0.000 0.250
Ag 0.000 0.000 0.750
Ag 0.333 0.667 0.417
Ag 0.333 0.667 0.917
Ag 0.667 0.333 0.083
Ag 0.667 0.333 0.583
Au 0.000 0.000 0.500
Au 0.333 0.667 0.167
Au 0.667 0.333 0.833



No. 2
CeMnSn2 | PBE-GGA | relaxed

Output
DFT formation energy, meV/atom: -285
SG: No. 63

Unit cell a=4.643 b=10.294 c=7.324 alpha=90.00 beta=90.00 gamma=90.00
Sites, in units of the cell vectors:
Ce 0.000 0.052 0.250
Ce 0.000 0.948 0.750
Ce 0.500 0.448 0.750
Ce 0.500 0.552 0.250
Mn 0.000 0.154 0.750
Mn 0.000 0.846 0.250
Mn 0.500 0.346 0.250
Mn 0.500 0.654 0.750
Sn 0.000 0.351 0.038
Sn 0.000 0.351 0.462
Sn 0.000 0.649 0.538
Sn 0.000 0.649 0.962
Sn 0.500 0.149 0.538
Sn 0.500 0.149 0.962
Sn 0.500 0.851 0.038
Sn 0.500 0.851 0.462